(1)
The following is a DFT calculation (PBE) of a relaxed structure of SmRe2AgO8.

a = 6.4781 Å, b = 6.4781 Å, c = 6.6249 Å
α = 90.00°, β = 90.00°, γ = 120.00°
With the nearest neighbours (Å) after each atom.
Element x y z (fractional)
Re: 0.3333 0.6667 0.7562  4 O 1.74-1.78
O: 0.8181 0.6362 0.3249  1 Re 1.78
O: 0.3333 0.6667 0.0192  1 Re 1.74
Sm: 0.0000 0.0000 0.5000  6 O 2.35
O: 0.8181 0.1819 0.3249  1 Re 1.78
O: 0.3638 0.1819 0.3249  1 Re 1.78
O: 0.6362 0.8181 0.6751  1 Re 1.78
O: 0.1819 0.8181 0.6751  1 Re 1.78
Ag: 0.0000 0.0000 0.0000  6 O 2.97, 2 Sm 3.31
Re: 0.6667 0.3333 0.2438  4 O 1.74-1.78
O: 0.6667 0.3333 0.9808  1 Re 1.74
O: 0.1819 0.3638 0.6751  1 Re 1.78

Results
ΔE_f (raw)   -1.688 eV/atom
SG   P-3m1, No. 164
V   20.06 A^3/atom
Fermi-level density of states   3.3 states/eV/f.u.

(2)
The following is a DFT calculation (PBE) of a relaxed structure of SmReAg2O6.

a = 5.7246 Å, b = 5.7247 Å, c = 5.8933 Å
α = 60.94°, β = 60.94°, γ = 60.00°
With the nearest neighbours (Å) after each atom.
Element x y z (fractional)
Sm: 0.8161 0.8161 0.5516  6 O 2.35
O: 0.1923 0.9961 0.2782  1 Re 1.91
O: 0.4401 0.6362 0.8247  1 Re 1.91
O: 0.9962 0.5334 0.2783  1 Re 1.91
Re: 0.3162 0.3162 0.0515  6 O 1.91
Ag: 0.5587 0.5587 0.3239  3 O 2.32
O: 0.0989 0.4401 0.8248  1 Re 1.91
O: 0.6362 0.0990 0.8246  1 Re 1.91
Ag: 0.0735 0.0736 0.7793  3 O 2.32
O: 0.5335 0.1922 0.2782  1 Re 1.91

Results
ΔE_f (raw)   -1.542 eV/atom
SG   R-3, No. 148
V   13.85 A^3/atom